AlNiAg2F7 | PBE+U | relaxed

Properties
The size of the total moment is 2.074 μB/f.u. As for the raw total energy: -100.003 eV for the cell shown.

Cell lengths 7.3671, 7.3671, 7.3671 Å; angles 120.59, 116.88, 92.24 degrees
With the nearest neighbours (Å) after each atom.
Fractional coordinates of all 22 atoms:
Al1 0.5000 0.0000 0.5000  6 F 1.83-1.84
Al2 0.0000 0.5000 0.5000  6 F 1.83-1.84
Ni1 0.0000 0.0000 0.5000  6 F 2.01-2.03
Ni2 0.0000 0.5000 0.0000  6 F 2.01-2.03
Ag1 0.0000 0.0000 0.0000  6 F 2.40-2.66
Ag2 0.5000 0.5000 0.0000  6 F 2.40-2.66
Ag3 0.5000 0.0000 0.0000  4 F 2.50
Ag4 0.5000 0.5000 0.5000  4 F 2.50
F1 0.3761 0.0862 0.2899  1 Al 1.84
F2 0.7037 0.4138 0.2899  1 Al 1.84
F3 0.6844 0.2910 0.7535  1 Al 1.83, 1 Ni 2.03
F4 0.9625 0.2090 0.3934  1 Al 1.83, 1 Ni 2.03
F5 0.9625 0.5691 0.7535  1 Al 1.83, 1 Ni 2.03
F6 0.6844 0.9309 0.3934  1 Al 1.83, 1 Ni 2.03
F7 0.3156 0.0691 0.6066  1 Al 1.83, 1 Ni 2.03
F8 0.0375 0.4309 0.2465  1 Al 1.83, 1 Ni 2.03
F9 0.0375 0.7910 0.6066  1 Al 1.83, 1 Ni 2.03
F10 0.3156 0.7090 0.2465  1 Al 1.83, 1 Ni 2.03
F11 0.8897 0.7500 0.1397  2 Ni 2.01
F12 0.6239 0.9138 0.7101  1 Al 1.84
F13 0.2963 0.5862 0.7101  1 Al 1.84
F14 0.1103 0.2500 0.8603  2 Ni 2.01